Computed, not measured: crystalline CsZn3Bi2 at its relaxed geometry at the PBE level of DFT.

Lattice parameters (Å, degrees): 9.0411 9.0411 9.3487 110.36 110.36 32.29
Positions (direct):
Cs 0.1419 0.1419 0.0629
Cs 0.8581 0.8581 0.9371
Zn 0.0378 0.0378 0.4040
Zn 0.3108 0.3108 0.5364
Zn 0.4106 0.4106 0.3968
Zn 0.5894 0.5894 0.6032
Zn 0.6892 0.6892 0.4636
Zn 0.9622 0.9622 0.5960
Bi 0.1929 0.1929 0.6700
Bi 0.4829 0.4829 0.7602
Bi 0.5171 0.5171 0.2398
Bi 0.8071 0.8071 0.3300

SG: No. 12
DFT formation energy (eV per atom): -0.086
DFT total energy (eV per cell): -25.91

---

Computed, not measured: crystalline KAuI3 at its relaxed geometry at the PBE level of DFT.

Lattice parameters (Å, degrees): 5.8672 16.1122 6.8106 90.00 113.87 90.00
Positions (direct):
K 0.2449 0.2500 0.2847
K 0.7551 0.7500 0.7153
Au 0.2850 0.2500 0.8006
Au 0.7150 0.7500 0.1994
I 0.2280 0.7500 0.2273
I 0.2990 0.0871 0.8344
I 0.2990 0.4129 0.8344
I 0.7010 0.5871 0.1656
I 0.7010 0.9129 0.1656
I 0.7720 0.2500 0.7727

SG: No. 11
ΔE_f (raw) (eV per atom): -0.51
DFT total energy (eV per cell): -23.14

---

Computed, not measured: crystalline CuTcTe at its relaxed geometry at the PBE level of DFT.

Lattice parameters (Å, degrees): 4.3572 4.3572 3.2577 90.00 90.00 120.00
Positions (direct):
Cu 0.0000 0.0000 0.0000
Tc 0.6667 0.3333 0.4755
Te 0.3333 0.6667 0.5652

SG: No. 156
ΔE_f (raw) (eV per atom): 0.56
Energy relative to the lowest polymorph listed for this composition (eV per atom): 0.416
DFT total energy (eV per cell): -15.93

---

Computed, not measured: crystalline CaLaCo3 at its relaxed geometry at the PBE level of DFT.

Lattice parameters (Å, degrees): 4.6697 4.6697 4.6697 90.00 90.00 90.00
Positions (direct):
Ca 0.0000 0.0000 0.0000
La 0.5000 0.5000 0.5000
Co 0.0000 0.5000 0.5000
Co 0.5000 0.0000 0.5000
Co 0.5000 0.5000 0.0000

SG: No. 221
DFT formation energy (eV per atom): 1.010
Energy relative to the lowest polymorph listed for this composition (eV per atom): 0.000
DFT total energy (eV per cell): -23.20

---

Computed, not measured: crystalline Pm2PuVN4 at its relaxed geometry at the PBE level of DFT.

Lattice parameters (Å, degrees): 6.1587 6.1587 12.1554 90.00 90.00 147.66
Positions (direct):
Pm 0.1313 0.8687 0.5414
Pm 0.1313 0.8687 0.9586
Pm 0.8687 0.1313 0.0414
Pm 0.8687 0.1313 0.4586
Pu 0.4040 0.5960 0.7500
Pu 0.5960 0.4040 0.2500
V 0.3291 0.6709 0.2500
V 0.6709 0.3291 0.7500
N 0.0832 0.9168 0.7500
N 0.2307 0.7693 0.1349
N 0.2307 0.7693 0.3651
N 0.5000 0.5000 0.0000
N 0.5000 0.5000 0.5000
N 0.7693 0.2307 0.6349
N 0.7693 0.2307 0.8651
N 0.9168 0.0832 0.2500

SG: No. 63
ΔE_f (raw) (eV per atom): -1.12
DFT total energy (eV per cell): -150.37

---

Computed, not measured: crystalline LaAlPtN at its relaxed geometry at the PBE level of DFT.

Lattice parameters (Å, degrees): 4.0131 4.0131 8.8232 90.00 90.00 90.00
Positions (direct):
La 0.2500 0.2500 0.1450
La 0.7500 0.7500 0.8550
Al 0.2500 0.2500 0.6659
Al 0.7500 0.7500 0.3341
Pt 0.2500 0.7500 0.5000
Pt 0.7500 0.2500 0.5000
N 0.2500 0.2500 0.8776
N 0.7500 0.7500 0.1224

SG: No. 129
ΔE_f (raw) (eV per atom): -1.21
DFT total energy (eV per cell): -55.78

---

Computed, not measured: crystalline Ge3SN at its relaxed geometry at the PBE level of DFT.

Lattice parameters (Å, degrees): 4.8920 4.8920 4.8920 90.00 90.00 90.00
Positions (direct):
Ge 0.0000 0.0000 0.5000
Ge 0.0000 0.5000 0.0000
Ge 0.5000 0.0000 0.0000
S 0.0000 0.0000 0.0000
N 0.5000 0.5000 0.5000

SG: No. 221
ΔE_f (raw) (eV per atom): 1.58
Energy relative to the lowest polymorph listed for this composition (eV per atom): 0.888
DFT total energy (eV per cell): -18.39

---

Computed, not measured: crystalline Ba8AsIr2 at its relaxed geometry at the PBE level of DFT.

Lattice parameters (Å, degrees): 9.3531 9.3531 7.7932 90.00 90.00 120.00
Positions (direct):
Ba 0.1660 0.3321 0.2591
Ba 0.1660 0.8340 0.2591
Ba 0.3321 0.1660 0.7409
Ba 0.3333 0.6667 0.7663
Ba 0.6667 0.3333 0.2337
Ba 0.6679 0.8340 0.2591
Ba 0.8340 0.1660 0.7409
Ba 0.8340 0.6679 0.7409
As 0.0000 0.0000 0.5000
Ir 0.3333 0.6667 0.4007
Ir 0.6667 0.3333 0.5993

SG: No. 164
DFT formation energy (eV per atom): -0.128
DFT total energy (eV per cell): -39.17